1.
An optimized crystal structure of CsTe3Pb. Source: Alexandria via LeMat-Bulk, functional GGA-PBE.

Cell and atoms, written as CIF:
```
data_CsTe3Pb
_chemical_formula_sum 'Cs1 Te3 Pb1'
_cell_length_a 6.236
_cell_length_b 6.236
_cell_length_c 6.236
_cell_angle_alpha 90.00
_cell_angle_beta 90.00
_cell_angle_gamma 90.00
_symmetry_space_group_name_H-M 'P m -3 m'
_symmetry_Int_Tables_number 221
_symmetry_space_group_name_Hall '-P 4 2 3'
loop_
_atom_site_label
_atom_site_type_symbol
_atom_site_fract_x
_atom_site_fract_y
_atom_site_fract_z
Cs1 Cs 0.000 0.000 0.000
Te1 Te 0.000 0.000 0.500
Pb1 Pb 0.500 0.500 0.500
```

***

2.
An optimized crystal structure of CsTe3Pb. Source: Alexandria via LeMat-Bulk, functional GGA-PBE.

Cell and atoms, written as CIF:
```
data_CsTe3Pb
_chemical_formula_sum 'Cs1 Te3 Pb1'
_cell_length_a 6.042
_cell_length_b 6.042
_cell_length_c 6.042
_cell_angle_alpha 90.00
_cell_angle_beta 90.00
_cell_angle_gamma 90.00
_symmetry_space_group_name_H-M 'P m -3 m'
_symmetry_Int_Tables_number 221
_symmetry_space_group_name_Hall '-P 4 2 3'
loop_
_atom_site_label
_atom_site_type_symbol
_atom_site_fract_x
_atom_site_fract_y
_atom_site_fract_z
Cs1 Cs 0.000 0.000 0.000
Te1 Te 0.000 0.500 0.500
Pb1 Pb 0.500 0.500 0.500
```

***

Winner for stability: 2